{
  "formula": "K2LaN",
  "functional": "PBE-GGA",
  "state": "optimized geometry",
  "raw_formation_energy_ev_per_atom": -0.0104,
  "lattice": [[-3.8604, 11.9392, 0.0899], [-10.1872, -3.3430, 6.5191], [-5.9172, 4.6415, 5.2099]],
  "species": ["K", "K", "K", "K", "N", "N", "La", "La"],
  "frac_coords": [[0.4719, 0.1250, 0.2500], [0.2781, 0.6250, 0.2500], [0.3750, 0.5281, 0.7500], [0.8750, 0.7219, 0.7500], [0.5000, 0.5000, 0.0000], [0.2500, 0.7500, 0.5000], [0.0000, 0.0000, 0.0000], [0.7500, 0.2500, 0.5000]]
}